A geometry-optimized SmScTlCd structure, computed with GGA-PBE.

a b c (Å): 7.425 7.425 7.425
angles (deg): 90.00 90.00 90.00
Space group F-43m (No. 216)
Asymmetric unit:
Sm (0.000, 0.000, 0.000) x4
Sc (0.000, 0.000, 0.500) x4
Tl (0.250, 0.250, 0.250) x4
Cd (0.250, 0.250, 0.750) x4

ρ = 8.31 g cm⁻³
spin magnetization = 2.40 μB per cell
uncorrected energy = -3.893 eV per atom

***

A geometry-optimized SmSc2Tl2Cd2 structure, computed with GGA-PBE.

a b c (Å): 4.8994 4.8994 25.4019
angles (deg): 90.00 90.00 120.00
Space group R-3m (No. 166, hexagonal axes)
Asymmetric unit:
Sm (0.0000, 0.0000, 0.0000) x3
Sc (0.0000, 0.0000, 0.1379) x6
Tl (0.0000, 0.0000, 0.2662) x6
Cd (0.0000, 0.0000, 0.4392) x6

ρ = 8.24 g cm⁻³
spin magnetization = 2.08 μB per cell
uncorrected energy = -3.587 eV per atom

***

A geometry-optimized SmTmScCd structure, computed with GGA-PBE.

a b c (Å): 7.567 7.567 7.567
angles (deg): 90.00 90.00 90.00
Space group F-43m (No. 216)
Asymmetric unit:
Sm (0.000, 0.000, 0.000) x4
Tm (0.000, 0.000, 0.500) x4
Sc (0.250, 0.250, 0.250) x4
Cd (0.250, 0.250, 0.750) x4

ρ = 7.31 g cm⁻³
spin magnetization = 0.04 μB per cell
energy above the lowest structure with this stoichiometry = 7.6 kJ per mole of atoms

***

A geometry-optimized SmTmSc2Cd4 structure, computed with GGA-PBE.

a b c (Å): 5.1610 5.1610 25.3481
angles (deg): 90.00 90.00 120.00
Space group R-3m (No. 166, hexagonal axes)
Asymmetric unit:
Sm (0.0000, 0.0000, 0.0000) x3
Tm (0.0000, 0.0000, 0.5000) x3
Sc (0.0000, 0.0000, 0.2491) x6
Cd (0.0000, 0.0000, 0.1264) x6
Cd (0.0000, 0.0000, 0.3769) x6

ρ = 7.32 g cm⁻³
spin magnetization = 0.59 μB per cell
uncorrected energy = -3.480 eV per atom

***

Ordered calculated volume results: 25.579; 25.146; 27.077; 24.363; unit Å³/atom.